Dy2ThRu | PBE | relaxed

Calculated values
DOS(E_F): 6.67 states/eV/cell
SG: R-3m (166)
ΔH_f (0 K): 0.13 eV per atom
V: 27.5 Å³ per atom
Spin magnetization: 0.0 μB per formula unit
Electronic total energy: -6.346 eV per atom

Unit cell a=3.4295 b=3.4295 c=10.9929 alpha=81.03 beta=81.03 gamma=60.00
Atoms (fractional coordinates):
Th (0.0000, 0.0000, 0.0000)
Dy (0.8938, 0.8938, 0.3185)
Dy (0.1062, 0.1062, 0.6815)
Ru (0.5000, 0.5000, 0.5000)